Model w:
Compound: YAlZnAu2
Source: Alexandria via LeMat-Bulk
Functional: PBE-GGA
Structure: optimized geometry

Unit cell a=5.479 b=5.479 c=5.919 alpha=90.00 beta=90.00 gamma=90.00
Fractional positions:
Y: 0.000 0.000 0.000
Al: 0.000 0.000 0.500
Zn: 0.500 0.500 0.500
Au: 0.000 0.500 0.000
Au: 0.500 0.000 0.000

Properties
- Size of the total moment: 0.000 μB/atom

Model x:
Compound: YAlZnAu2
Source: Alexandria via LeMat-Bulk
Functional: PBE-GGA
Structure: optimized geometry

Unit cell a=6.811 b=6.811 c=6.811 alpha=145.72 beta=145.72 gamma=49.27
Fractional positions:
Y: 0.000 0.000 0.000
Al: 0.750 0.250 0.500
Zn: 0.250 0.750 0.500
Au: 0.389 0.389 0.000
Au: 0.611 0.611 0.000

Properties
- Size of the total moment: 0.000 μB/atom

The most stable arrangement is model x, and the next structure is 1.303 eV/atom less stable.